Record 1
Density functional theory data (PBE) for a relaxed structure of PdPtSeO2.

Properties
Its total energy is -4.497 eV/atom. The value obtained for the total magnetization is 0.000 μB per atom. As for the crystal system: tetragonal. As for the theoretical density: 9.4 Mg/m³. As for the space group: P4/mmm, No. 123. The energy relative to the elements, uncorrected is 0.430 eV per atom.

```
PdPtSeO2
1.0
3.8387 0.0000 0.0000
0.0000 4.9576 0.0000
0.0000 0.0000 3.8387
Pd O Pt Se
1 2 1 1
Cartesian
0.0000 2.4788 0.0000
1.9194 0.0000 0.0000
0.0000 0.0000 1.9194
1.9194 2.4788 1.9194
0.0000 0.0000 0.0000
```



Record 2
Density functional theory data (PBE) for a relaxed structure of CuNiAs2.

Properties
Its total energy is -4.785 eV/atom. The value obtained for the total magnetization is 0.000 μB per atom. As for the crystal system: monoclinic. As for the theoretical density: 6.9 Mg/m³. As for the space group: Cm, No. 8.

```
CuNiAs2
1.0
4.1640 -0.0036 0.1186
3.0674 2.8161 0.1186
1.9871 0.7728 5.6820
As Ni Cu
2 1 1
Cartesian
2.7384 1.0651 2.0723
8.8266 3.4329 5.3269
6.7493 2.6250 4.3289
4.7319 1.8404 3.0701
```



Record 3
Density functional theory data (PBE) for a relaxed structure of CsLi2Cd2Bi2.

Properties
Its total energy is -2.352 eV/atom. The value obtained for the total magnetization is 0.000 μB per atom. As for the crystal system: monoclinic. As for the theoretical density: 5.7 Mg/m³. As for the space group: C2/m, No. 12.

```
CsLi2Cd2Bi2
1.0
4.8321 0.0000 0.0000
-2.4161 5.0158 0.3994
0.0000 -0.9848 9.3411
Li Cs Bi Cd
2 1 2 2
Cartesian
2.4161 0.2949 5.9397
0.0000 3.7362 3.8008
0.0000 0.0000 0.0000
0.0000 2.3448 7.0260
2.4161 1.6862 2.7145
2.4161 3.1745 5.5001
0.0000 0.8566 4.2405
```



Record 4
Density functional theory data (PBE) for a relaxed structure of Na4Sm3TlO8.

Properties
Its total energy is -6.096 eV/atom. The value obtained for the total magnetization is 0.000 μB per atom. As for the crystal system: trigonal. As for the theoretical density: 6.1 Mg/m³. As for the space group: R-3m, No. 166. The energy relative to the elements, uncorrected is -2.254 eV per atom.

```
Na4Sm3TlO8
1.0
-4.0721 1.6280 -5.4398
2.4225 -5.5134 -3.4635
-2.8055 -0.7941 6.3501
Sm Na O Tl
3 4 8 1
Cartesian
-0.8248 -1.9427 -4.4516
-2.2275 -2.3398 -1.2766
-0.1915 -3.1538 1.4433
-3.4388 0.4169 0.4552
-1.4027 -0.3971 3.1750
-2.0360 0.8140 -2.7199
0.0000 0.0000 0.0000
-3.8645 -0.7027 -1.8050
-0.4435 -1.1177 -2.2576
-2.6087 -3.0997 -3.4624
-0.5905 -3.9770 -0.7482
-1.8463 -1.5799 0.9093
-1.9858 -4.3718 2.4106
-4.0115 -3.5619 -0.2956
-2.4693 -0.3078 -4.9638
1.2113 -2.7567 -1.7317
```